[1]
Density functional theory data (PBE-GGA) for an optimized crystal structure of Cs5YO4.

It has space group P2_1/c (No. 14), with a = 11.761 Å, b = 13.582 Å, c = 7.572 Å, α = 90.00°, β = 101.04° and γ = 90.00°. Symmetry generates all atoms from Cs at (0.004, 0.073, 0.244), Cs at (0.151, 0.175, 0.847), Cs at (0.216, 0.695, 0.004), Cs at (0.373, 0.067, 0.575), Cs at (0.492, 0.665, 0.400), Y at (0.260, 0.543, 0.609), O at (0.095, 0.610, 0.638), O at (0.257, 0.111, 0.192), O at (0.264, 0.544, 0.325) and O at (0.398, 0.633, 0.761).

Its energy relative to the lowest polymorph listed for this composition is 0.000 eV per atom. As for the magnetization: 0.11 μB per cell. As for the total energy: -187.8 eV/cell. Its formation energy (no corrections) is -1580 kJ/mol of formula units.

[2]
Density functional theory data (PBE-GGA) for an optimized crystal structure of Cs2YO.

It has space group Fm-3m (No. 225), with a = 8.694 Å, b = 8.694 Å, c = 8.694 Å, α = 90.00°, β = 90.00° and γ = 90.00°. Symmetry generates all atoms from Cs at (0.250, 0.250, 0.250), Y at (0.000, 0.000, 0.000) and O at (0.000, 0.000, 0.500).

Its energy relative to the lowest polymorph listed for this composition is 1.612 eV per atom. As for the magnetization: 4.00 μB per cell. As for the total energy: -41.1 eV/cell. Its formation energy (no corrections) is 276 kJ/mol of formula units.

[3]
Density functional theory data (PBE-GGA) for an optimized crystal structure of Cs5YO4.

It has space group C2/m (No. 12), with a = 19.416 Å, b = 3.802 Å, c = 8.053 Å, α = 90.00°, β = 101.92° and γ = 90.00°. Symmetry generates all atoms from Cs at (0.000, 0.000, 0.000), Cs at (0.148, 0.500, 0.804), Cs at (0.149, 0.500, 0.341), Y at (0.000, 0.000, 0.500), O at (0.001, 0.500, 0.694) and O at (0.121, 0.000, 0.559).

Its energy relative to the lowest polymorph listed for this composition is 0.066 eV per atom. As for the magnetization: 0.17 μB per cell. As for the total energy: -92.6 eV/cell. Its formation energy (no corrections) is -1517 kJ/mol of formula units.

[4]
Density functional theory data (PBE-GGA) for an optimized crystal structure of CsY3O5.

It has space group Pnma (No. 62), with a = 10.608 Å, b = 3.515 Å, c = 17.538 Å, α = 90.00°, β = 90.00° and γ = 90.00°. Symmetry generates all atoms from Cs at (0.039, 0.250, 0.127), Y at (0.097, 0.250, 0.663), Y at (0.150, 0.750, 0.488), Y at (0.195, 0.250, 0.317), O at (0.026, 0.250, 0.420), O at (0.080, 0.750, 0.272), O at (0.178, 0.750, 0.718), O at (0.217, 0.250, 0.554) and O at (0.225, 0.250, 0.889).

As for the magnetization: 0.00 μB per cell. As for the total energy: -292.8 eV/cell. Its formation energy (no corrections) is -2717 kJ/mol of formula units.

[5]
Density functional theory data (PBE-GGA) for an optimized crystal structure of CsYbO3.

It has space group Pm-3m (No. 221), with a = 4.524 Å, b = 4.524 Å, c = 4.524 Å, α = 90.00°, β = 90.00° and γ = 90.00°. Symmetry generates all atoms from Cs at (0.000, 0.000, 0.000), Yb at (0.500, 0.500, 0.500) and O at (0.000, 0.500, 0.500).

As for the magnetization: 3.01 μB per cell. As for the total energy: -24.9 eV/cell. Its formation energy (no corrections) is -738 kJ/mol of formula units.

[6]
Density functional theory data (PBE-GGA) for an optimized crystal structure of CsZn3O.

It has space group Pm-3m (No. 221), with a = 4.960 Å, b = 4.960 Å, c = 4.960 Å, α = 90.00°, β = 90.00° and γ = 90.00°. Symmetry generates all atoms from Cs at (0.000, 0.000, 0.000), Zn at (0.000, 0.500, 0.500) and O at (0.500, 0.500, 0.500).

Its energy relative to the lowest polymorph listed for this composition is 0.000 eV per atom. As for the magnetization: 0.00 μB per cell. As for the total energy: -8.3 eV/cell. Its formation energy (no corrections) is 133 kJ/mol of formula units.

[7]
Density functional theory data (PBE-GGA) for an optimized crystal structure of CsZnO3.

It has space group Pm-3m (No. 221), with a = 4.382 Å, b = 4.382 Å, c = 4.382 Å, α = 90.00°, β = 90.00° and γ = 90.00°. Symmetry generates all atoms from Cs at (0.000, 0.000, 0.000), Zn at (0.500, 0.500, 0.500) and O at (0.000, 0.000, 0.500).

As for the magnetization: 0.00 μB per cell. As for the total energy: -13.0 eV/cell. Its formation energy (no corrections) is 382 kJ/mol of formula units.

[8]
Density functional theory data (PBE-GGA) for an optimized crystal structure of CsZn3O.

It has space group Pm-3m (No. 221), with a = 7.220 Å, b = 7.220 Å, c = 7.220 Å, α = 90.00°, β = 90.00° and γ = 90.00°. Symmetry generates all atoms from Cs at (0.000, 0.000, 0.000), Zn at (0.000, 0.000, 0.500) and O at (0.500, 0.500, 0.500).

Its energy relative to the lowest polymorph listed for this composition is 0.833 eV per atom. As for the magnetization: 0.00 μB per cell. As for the total energy: -4.1 eV/cell. Its formation energy (no corrections) is 534 kJ/mol of formula units.

[9]
Density functional theory data (PBE-GGA) for an optimized crystal structure of CsZn6O6.

It has space group Pm-3 (No. 200), with a = 5.839 Å, b = 5.839 Å, c = 5.839 Å, α = 90.00°, β = 90.00° and γ = 90.00°. Symmetry generates all atoms from Cs at (0.000, 0.000, 0.000), Zn at (0.000, 0.262, 0.500) and O at (0.000, 0.500, 0.242).

As for the magnetization: 0.00 μB per cell. As for the total energy: -54.0 eV/cell. Its formation energy (no corrections) is -1524 kJ/mol of formula units.

[10]
Density functional theory data (PBE-GGA) for an optimized crystal structure of Cs3Zn2O4.

It has space group C2/c (No. 15), with a = 13.965 Å, b = 9.537 Å, c = 6.039 Å, α = 90.00°, β = 91.28° and γ = 90.00°. Symmetry generates all atoms from Cs at (0.000, 0.109, 0.250), Cs at (0.135, 0.361, 0.934), Zn at (0.211, 0.114, 0.547), O at (0.156, 0.300, 0.455) and O at (0.181, 0.048, 0.852).

As for the magnetization: 3.99 μB per cell. As for the total energy: -141.9 eV/cell. Its formation energy (no corrections) is -1018 kJ/mol of formula units.

[11]
Density functional theory data (PBE-GGA) for an optimized crystal structure of Cs3ZnO.

It has space group Pm-3m (No. 221), with a = 6.014 Å, b = 6.014 Å, c = 6.014 Å, α = 90.00°, β = 90.00° and γ = 90.00°. Symmetry generates all atoms from Cs at (0.000, 0.000, 0.500), Zn at (0.500, 0.500, 0.500) and O at (0.000, 0.000, 0.000).

Its energy relative to the lowest polymorph listed for this composition is 0.000 eV per atom. As for the magnetization: 0.00 μB per cell. As for the total energy: -10.8 eV/cell. Its formation energy (no corrections) is -197 kJ/mol of formula units.

[12]
Density functional theory data (PBE-GGA) for an optimized crystal structure of Cs2ZrZnO4.

It has space group Fddd (No. 70, origin choice 2), with a = 5.380 Å, b = 12.992 Å, c = 22.887 Å, α = 90.00°, β = 90.00° and γ = 90.00°. Symmetry generates all atoms from Cs at (0.125, 0.125, 0.300), Zr at (0.125, 0.125, 0.125), Zn at (0.125, 0.125, 0.625) and O at (0.119, 0.291, 0.420).

As for the magnetization: 0.00 μB per cell. As for the total energy: -377.0 eV/cell. Its formation energy (no corrections) is -1521 kJ/mol of formula units.